(1)
Entry from Alexandria via LeMat-Bulk: a relaxed structure of Co3IrRh (PBE-GGA).

Results
Total DFT energy (no corrections) (eV per atom): -6.695

Lattice parameters (Å, degrees): 4.2741 4.2740 4.2740 96.24 96.24 96.24
Last column: magnetic moment on the atom in μB.
Fractional coordinates of all 5 atoms:
Co 0.6750 0.2978 0.2978  1.63
Co 0.2978 0.6751 0.2978  1.63
Co 0.2978 0.2978 0.6750  1.63
Ir 0.1160 0.1160 0.1160  0.39
Rh 0.7384 0.7384 0.7384  0.73

(2)
Entry from Alexandria via LeMat-Bulk: a relaxed structure of CoIr5Rh4 (PBE-GGA).

Results
Total DFT energy (no corrections) (eV per atom): -8.077

Lattice parameters (Å, degrees): 2.7179 2.7179 18.9717 90.00 90.00 90.00
Last column: magnetic moment on the atom in μB.
Fractional coordinates of all 10 atoms:
Co 0.0000 0.0000 0.0000  1.28
Ir 0.5000 0.5000 0.0920  0.10
Ir 0.5000 0.5000 0.2959  -0.02
Ir 0.5000 0.5000 0.5000  -0.04
Ir 0.5000 0.5000 0.7041  -0.02
Ir 0.5000 0.5000 0.9080  0.10
Rh 0.0000 0.0000 0.1945  -0.05
Rh 0.0000 0.0000 0.3981  -0.02
Rh 0.0000 0.0000 0.6019  -0.02
Rh 0.0000 0.0000 0.8055  -0.05

no.,formation energy from the elements (eV/atom)
1,0.812
2,0.004